1.
Here is crystalline ErBeAl2 at its relaxed geometry from Alexandria via LeMat-Bulk. Energies are from PBE.

Values from the calculation:
Electronic total energy in eV per cell: -14.78

```
4
Lattice="-1.994 -2.263 -0.207 0.284 -2.070 -2.186 4.698 -6.597 4.766" Properties=species:S:1:pos:R:3 pbc="T T T"
Al 0.527 -2.518 0.362
Al 2.460 -8.412 2.012
Er 1.494 -5.465 1.187
Be 0.000 0.000 0.000
```

***

2.
Here is crystalline PRuCO2 at its relaxed geometry from Alexandria via LeMat-Bulk. Energies are from PBE.

Values from the calculation:
Uncorrected formation energy in meV per atom: 827

```
5
Lattice="3.621 0.000 0.000 0.000 3.621 0.000 0.000 0.000 5.334" Properties=species:S:1:pos:R:3 pbc="T T T"
P 0.000 0.000 2.667
O 1.810 0.000 0.000
O 0.000 1.810 0.000
Ru 0.000 0.000 0.000
C 1.810 1.810 2.667
```

***

3.
Here is crystalline La6TbNd12 at its relaxed geometry from Alexandria via LeMat-Bulk. Energies are from PBE.

Values from the calculation:
Electronic total energy in eV per cell: -89.23

```
19
Lattice="-3.512 -6.583 -4.691 8.061 -2.751 -2.265 0.252 -5.244 7.079" Properties=species:S:1:pos:R:3 pbc="T T T"
La -0.295 -5.825 -3.211
La 4.795 -8.909 -3.368
La 5.097 -8.753 3.333
La -0.568 -10.644 0.273
La 5.370 -3.934 -0.150
La 0.007 -5.669 3.491
Nd 4.892 -7.817 -0.045
Nd 3.283 -12.035 -1.919
Nd 2.536 -12.251 1.669
Nd 1.519 -2.543 2.041
Nd 5.859 -11.166 0.548
Nd 1.665 -8.894 -1.777
Nd 3.137 -5.684 1.899
Nd 2.955 -5.776 -1.913
Nd 2.266 -2.327 -1.546
Nd -0.090 -6.761 0.167
Nd -1.057 -3.412 -0.426
Nd 1.846 -8.802 2.036
Tb 0.000 0.000 0.000
```

***

4.
Here is crystalline SnIr3O at its relaxed geometry from Alexandria via LeMat-Bulk. Energies are from PBE.

Values from the calculation:
Uncorrected formation energy in meV per atom: 720

```
5
Lattice="4.240 0.000 0.000 0.000 4.240 0.000 0.000 0.000 4.240" Properties=species:S:1:pos:R:3 pbc="T T T"
O 0.000 0.000 0.000
Ir 2.120 0.000 0.000
Ir 0.000 2.120 0.000
Ir 0.000 0.000 2.120
Sn 2.120 2.120 2.120
```

***

5.
Here is crystalline Sm7YEr2 at its relaxed geometry from Alexandria via LeMat-Bulk. Energies are from PBE.

Values from the calculation:
Electronic total energy in eV per cell: -42.03

```
10
Lattice="-3.556 0.563 -4.275 -5.165 -7.055 3.366 -1.287 9.002 2.257" Properties=species:S:1:pos:R:3 pbc="T T T"
Sm -2.114 5.578 2.493
Sm -6.642 3.694 2.358
Sm -4.338 -3.631 3.130
Sm -7.518 0.069 2.609
Sm -2.490 2.441 -1.261
Sm -5.004 1.255 0.674
Sm -3.366 -1.184 -1.010
Er -4.209 4.545 0.447
Er -5.798 -2.035 0.901
Y 0.000 0.000 0.000
```

***

6.
Here is crystalline TaBr at its relaxed geometry from Alexandria via LeMat-Bulk. Energies are from PBE.

Values from the calculation:
Uncorrected formation energy in meV per atom: -57

```
4
Lattice="-2.498 -9.170 2.202 5.319 7.971 -1.831 -0.079 0.741 2.997" Properties=species:S:1:pos:R:3 pbc="T T T"
Br 4.499 6.403 -0.669
Br -1.758 -6.861 4.038
Ta 2.906 2.909 0.153
Ta -0.164 -3.367 3.216
```

***

7.
Here is crystalline Li2PtAu at its relaxed geometry from Alexandria via LeMat-Bulk. Energies are from PBE.

Values from the calculation:
Electronic total energy in eV per cell: -15.29

```
4
Lattice="-0.944 3.968 2.126 1.682 -2.718 3.307 2.613 0.927 -0.562" Properties=species:S:1:pos:R:3 pbc="T T T"
Au 2.147 -0.896 1.373
Li 0.000 0.000 0.000
Li 0.369 0.625 2.717
Pt 0.834 2.447 0.782
```

***

8.
Here is crystalline HoTm2ThSc2 at its relaxed geometry from Alexandria via LeMat-Bulk. Energies are from PBE.

Values from the calculation:
Electronic total energy in eV per cell: -65.08

```
12
Lattice="6.729 0.000 0.000 0.000 6.262 0.444 0.000 -1.720 8.217" Properties=species:S:1:pos:R:3 pbc="T T T"
Th 5.047 4.094 1.762
Th 1.682 0.448 6.899
Sc 1.682 2.171 4.283
Sc 5.047 2.372 4.378
Sc 5.047 -0.768 4.123
Sc 1.682 5.311 4.538
Ho 5.047 0.530 7.062
Ho 1.682 4.012 1.599
Tm 0.005 3.648 7.083
Tm 6.725 0.895 1.578
Tm 3.360 3.648 7.083
Tm 3.369 0.895 1.578
```

***

9.
Here is crystalline NaTh2Zn at its relaxed geometry from Alexandria via LeMat-Bulk. Energies are from PBE.

Values from the calculation:
Electronic total energy in eV per cell: -16.59

```
4
Lattice="3.418 0.000 0.000 1.709 2.960 0.000 1.709 0.987 12.089" Properties=species:S:1:pos:R:3 pbc="T T T"
Zn 3.418 1.974 6.045
Th 5.128 2.960 3.624
Th 1.709 0.987 8.465
Na 0.000 0.000 0.000
```

***

10.
Here is crystalline Al3FeCo3 at its relaxed geometry from Alexandria via LeMat-Bulk. Energies are from PBE.

Values from the calculation:
Electronic total energy in eV per cell: -43.25

```
7
Lattice="0.962 -4.775 -0.288 3.182 2.149 3.086 -4.553 0.630 1.635" Properties=species:S:1:pos:R:3 pbc="T T T"
Fe 1.603 1.083 1.555
Al -2.265 0.322 0.828
Al 0.492 -2.379 -0.133
Al -0.194 -0.991 2.228
Co -0.674 1.397 2.371
Co 2.083 -1.305 1.410
Co -1.785 -2.065 0.684
```

***

11.
Here is crystalline LiAc2AgPd6 at its relaxed geometry from Alexandria via LeMat-Bulk. Energies are from PBE.

Values from the calculation:
Electronic total energy in eV per cell: -47.38

```
10
Lattice="-6.387 -1.822 0.859 1.967 -5.172 3.771 -2.463 -0.775 6.174" Properties=species:S:1:pos:R:3 pbc="T T T"
Ac -1.353 -4.722 6.130
Ac -5.530 -3.047 4.674
Pd -4.557 -5.523 6.716
Pd -2.327 -2.247 4.088
Pd -0.291 -4.267 2.984
Pd -4.129 -2.727 1.646
Pd -3.226 -5.105 3.379
Pd -3.657 -2.665 7.424
Ag 0.000 0.000 0.000
Li -2.210 -3.497 2.315
```

***

12.
Here is crystalline Sc6AlTc2 at its relaxed geometry from Alexandria via LeMat-Bulk. Energies are from PBE.

Values from the calculation:
Electronic total energy in eV per cell: -129.00

```
18
Lattice="7.924 -0.016 -0.258 -3.017 7.328 0.258 -2.845 -3.393 6.577" Properties=species:S:1:pos:R:3 pbc="T T T"
Sc 4.483 4.627 1.181
Sc 5.456 1.641 0.161
Sc 2.504 0.357 4.300
Sc 4.461 -0.957 2.018
Sc 2.490 3.632 3.619
Sc -0.441 3.562 2.276
Sc -0.262 2.508 5.395
Sc -0.427 0.287 2.957
Sc -3.394 2.278 6.416
Sc 2.324 1.410 1.181
Sc -2.421 -0.708 5.395
Sc -2.399 4.875 4.558
Al -2.931 1.967 3.417
Al 0.000 0.000 0.000
Tc 1.724 4.146 0.851
Tc 0.338 -0.227 5.726
Tc 3.459 -2.321 4.303
Tc 1.620 -1.087 2.016
```

***

13.
Here is crystalline NdDyY at its relaxed geometry from Alexandria via LeMat-Bulk. Energies are from PBE.

Values from the calculation:
Electronic total energy in eV per cell: -15.65

```
3
Lattice="3.548 0.000 0.000 0.000 5.668 0.000 0.000 -2.834 4.909" Properties=species:S:1:pos:R:3 pbc="T T T"
Y 2.365 2.834 1.636
Nd 0.594 0.000 0.000
Dy 0.588 0.000 3.272
```

***

14.
Here is crystalline Mg4AlSn at its relaxed geometry from Alexandria via LeMat-Bulk. Energies are from PBE.

Values from the calculation:
Electronic total energy in eV per cell: -28.55

```
12
Lattice="-3.756 5.207 -1.914 0.224 -2.179 -6.331 -3.871 -5.170 5.157" Properties=species:S:1:pos:R:3 pbc="T T T"
Mg -1.245 -1.968 -2.920
Mg -4.167 -3.867 -2.376
Mg -6.157 -0.174 -0.168
Mg -3.235 1.725 -0.711
Mg -1.356 -0.885 0.259
Mg -3.122 0.628 -3.864
Mg -6.046 -1.257 -3.346
Mg -4.281 -2.771 0.776
Sn -1.823 -3.675 -0.587
Sn -3.813 0.018 1.622
Al -2.649 2.271 -6.184
Al -4.754 -4.413 3.096
```

***

15.
Here is crystalline Li2InSb at its relaxed geometry from Alexandria via LeMat-Bulk. Energies are from PBE.

Values from the calculation:
Uncorrected formation energy in meV per atom: -144

```
4
Lattice="-0.861 -3.131 -2.068 2.120 -0.915 -3.080 4.747 -5.277 2.430" Properties=species:S:1:pos:R:3 pbc="T T T"
In 2.962 -4.624 -1.399
Sb 0.882 -2.735 -3.392
Li 1.415 -2.252 -0.763
Li 3.751 -4.373 1.476
```

***

16.
Here is crystalline Cr4MoRh at its relaxed geometry from Alexandria via LeMat-Bulk. Energies are from PBE.

Values from the calculation:
Electronic total energy in eV per cell: -56.52

```
6
Lattice="-0.059 -4.296 2.069 3.059 -3.372 -1.419 3.584 -1.321 2.854" Properties=species:S:1:pos:R:3 pbc="T T T"
Rh 0.000 0.000 0.000
Mo 1.646 -2.247 0.876
Cr 2.334 -4.952 0.774
Cr 4.106 -5.606 2.185
Cr 4.135 -3.481 1.162
Cr 2.594 -3.938 2.887
```

***

17.
Here is crystalline Y2Al3Zn9 at its relaxed geometry from Alexandria via LeMat-Bulk. Energies are from PBE.

Values from the calculation:
Electronic total energy in eV per cell: -78.30

```
28
Lattice="7.708 0.030 0.000 -3.781 6.717 0.000 0.000 0.000 9.307" Properties=species:S:1:pos:R:3 pbc="T T T"
Y -2.543 4.538 2.327
Y 5.202 0.030 2.327
Y 6.470 2.209 6.980
Y -1.275 6.717 6.980
Zn 0.553 0.950 2.327
Zn -1.110 2.287 3.833
Zn 1.391 6.583 5.474
Zn 2.597 4.462 4.053
Zn 5.038 4.460 8.487
Zn 2.597 4.462 0.601
Zn 2.537 0.164 3.833
Zn 3.374 5.797 6.980
Zn 5.038 4.460 5.474
Zn 1.330 2.285 5.255
Zn 3.291 3.080 6.980
Zn 1.391 6.583 8.487
Zn 1.053 4.383 6.980
Zn -1.110 2.287 0.820
Zn 2.874 2.364 2.327
Zn 0.637 3.667 2.327
Zn 1.330 2.285 8.706
Zn 2.537 0.164 0.820
Al 0.000 0.000 0.000
Al 4.082 2.140 4.654
Al 0.000 0.000 4.654
Al -0.155 4.607 4.654
Al -0.155 4.607 0.000
Al 4.082 2.140 0.000
```

***

18.
Here is crystalline DyTiCoIr at its relaxed geometry from Alexandria via LeMat-Bulk. Energies are from PBE.

Values from the calculation:
Electronic total energy in eV per cell: -30.15

```
4
Lattice="4.573 0.000 0.000 2.287 3.960 0.000 2.287 1.320 3.734" Properties=species:S:1:pos:R:3 pbc="T T T"
Ir 0.000 0.000 0.000
Dy 6.860 3.960 2.800
Ti 2.287 1.320 0.933
Co 4.573 2.640 1.867
```

***

19.
Here is crystalline KLa2Fe at its relaxed geometry from Alexandria via LeMat-Bulk. Energies are from PBE.

Values from the calculation:
Electronic total energy in eV per cell: -18.12

```
4
Lattice="10.956 2.146 -0.511 8.856 6.797 0.511 -9.725 -4.872 2.565" Properties=species:S:1:pos:R:3 pbc="T T T"
La 6.741 4.202 1.538
La 0.168 0.076 0.000
Fe 8.665 3.911 0.000
K 4.418 0.354 1.027
```

***

20.
Here is crystalline KMoAsSe2 at its relaxed geometry from Alexandria via LeMat-Bulk. Energies are from PBE.

Values from the calculation:
Uncorrected formation energy in meV per atom: 2071

```
5
Lattice="5.301 0.000 0.000 0.000 5.301 0.000 0.000 0.000 5.101" Properties=species:S:1:pos:R:3 pbc="T T T"
Se 2.650 0.000 0.000
Se 0.000 2.650 0.000
As 0.000 0.000 2.550
Mo 2.650 2.650 2.550
K 0.000 0.000 0.000
```